Entry 1:
Compound: RbAs2Pd5
Source: Alexandria via LeMat-Bulk
Functional: PBE-GGA
Structure: optimized geometry

Structure (POSCAR):
```
RbAs2Pd5
1.0
4.1141 0.0000 0.0000
2.0570 6.3558 0.1263
2.0570 2.0327 6.0233
Rb As Pd
1 2 5
direct
0.0000 0.0000 0.0000
0.7651 0.7349 0.7349
0.2349 0.2651 0.2651
0.0000 0.5000 0.5000
0.6628 0.5264 0.1479
0.3372 0.4736 0.8521
0.3372 0.8521 0.4736
0.6628 0.1479 0.5264
```

Results
VASP energy = -0.358 Ry per atom
volume = 156.44 Å³ per cell
space-group type = No. 71
spin magnetization = 0.000 Bohr magnetons per cell

---

Entry 2:
Compound: BaBiMo2Se
Source: Alexandria via LeMat-Bulk
Functional: PBE-GGA
Structure: optimized geometry

Structure (POSCAR):
```
BaBiMo2Se
1.0
4.8518 0.0000 0.0000
0.0000 6.0003 0.0000
0.0000 0.0000 4.8518
Mo Bi Se Ba
2 1 1 1
direct
0.0000 0.0000 0.5000
0.5000 0.0000 0.0000
0.5000 0.5000 0.5000
0.0000 0.0000 0.0000
0.0000 0.5000 0.0000
```

Results
volume = 141.25 Å³ per cell
space-group type = No. 123
formation energy without anion corrections = 0.702 eV/atom
spin magnetization = 3.108 Bohr magnetons per cell
energy above the lowest structure with this stoichiometry = 0.0 kJ/mol of formula units